Entry 1:
## Pr4SiS2Br (PBE)

Data for a relaxed structure of Pr4SiS2Br.

Results
- DOS at the Fermi energy (states/eV per atom) = 0.414
- formation energy without anion corrections (eV per atom) = -1.53
- density (kg/m3) = 5731
- total DFT energy (no corrections) (eV/atom) = -5.837
- spin magnetization (μB per atom) = 0.00

Cell: 7.236 4.180 7.446 Å, 90.00 108.85 90.00°
Fractional positions:
Pr 0.227 0.000 0.220
Pr 0.242 0.500 0.765
Pr 0.758 0.500 0.235
Pr 0.773 0.000 0.780
Si 0.500 0.000 0.000
S 0.000 0.000 0.500
S 0.000 0.500 0.000
Br 0.500 0.500 0.500

---

Entry 2:
## Pr6SiS2Br3 (PBE)

Data for a relaxed structure of Pr6SiS2Br3.

Results
- DOS at the Fermi energy (states/eV per atom) = 0.433
- formation energy without anion corrections (eV per atom) = -1.45
- density (kg/m3) = 5829
- total DFT energy (no corrections) (eV/atom) = -5.398
- spin magnetization (μB per atom) = 0.00

Cell: 9.794 9.794 8.720 Å, 108.11 108.11 25.02°
Fractional positions:
Pr 0.013 0.013 0.231
Pr 0.323 0.323 0.447
Pr 0.341 0.341 0.885
Pr 0.659 0.659 0.115
Pr 0.677 0.677 0.553
Pr 0.987 0.987 0.769
Si 0.500 0.500 0.000
S 0.169 0.169 0.336
S 0.831 0.831 0.664
Br 0.164 0.164 0.833
Br 0.500 0.500 0.500
Br 0.836 0.836 0.167